Entry from Alexandria: a relaxed structure of La2MnBr (GGA-PBE).

Computed properties:
**N(E_F)**: 2.26 states/eV per cell
**Distance to the lowest polymorph of the same formula**: 46 meV/atom
**Uncorrected energy**: -5.562 eV per atom

a b c (Å): 4.3238 4.3238 6.0416
angles (deg): 90.00 90.00 90.00
Fractional coordinates of all 4 atoms:
Br: 0.5000 0.5000 0.8632
La: 0.0000 0.0000 0.9503
La: 0.5000 0.5000 0.3643
Mn: 0.0000 0.0000 0.3222


Entry from Alexandria: a relaxed structure of LaMnBr2 (GGA-PBE).

Computed properties:
**N(E_F)**: 2.93 states/eV per cell
**Distance to the lowest polymorph of the same formula**: 234 meV/atom
**Uncorrected energy**: -4.907 eV per atom

a b c (Å): 10.3504 10.3504 10.3504
angles (deg): 20.87 20.87 20.87
Fractional coordinates of all 4 atoms:
Br: 0.9878 0.9878 0.9878
Br: 0.5122 0.5122 0.5122
La: 0.2500 0.2500 0.2500
Mn: 0.7500 0.7500 0.7500


Entry from Alexandria: a relaxed structure of La2MnBr (GGA-PBE).

Computed properties:
**N(E_F)**: 4.77 states/eV per cell
**Distance to the lowest polymorph of the same formula**: 0 meV/atom
**Uncorrected energy**: -5.608 eV per atom

a b c (Å): 3.5573 3.5671 9.2853
angles (deg): 67.71 90.00 90.00
Fractional coordinates of all 4 atoms:
Br: 0.5000 0.7500 0.7500
La: 0.0000 0.9646 0.0309
La: 0.0000 0.5354 0.4691
Mn: 0.5000 0.2500 0.2500


Entry from Alexandria: a relaxed structure of LaMnBr2 (GGA-PBE).

Computed properties:
**N(E_F)**: 4.66 states/eV per cell
**Distance to the lowest polymorph of the same formula**: 435 meV/atom
**Uncorrected energy**: -4.706 eV per atom

a b c (Å): 6.1515 6.1515 7.9553
angles (deg): 67.26 67.26 90.00
Fractional coordinates of all 8 atoms:
Mn: 0.5000 0.5000 0.0000
Mn: 0.2500 0.7500 0.5000
Br: 0.5481 0.1250 0.2500
Br: 0.2019 0.6250 0.2500
Br: 0.3750 0.4519 0.7500
Br: 0.8750 0.7981 0.7500
La: 0.0000 0.0000 0.0000
La: 0.7500 0.2500 0.5000


Entry from Alexandria: a relaxed structure of LaMnBr2 (GGA-PBE).

Computed properties:
**N(E_F)**: 3.05 states/eV per cell
**Distance to the lowest polymorph of the same formula**: 171 meV/atom
**Uncorrected energy**: -4.970 eV per atom

a b c (Å): 5.6258 5.6258 5.6258
angles (deg): 135.70 123.17 74.76
Fractional coordinates of all 4 atoms:
Br: 0.0350 0.0350 0.0000
Br: 0.4650 0.4650 0.0000
La: 0.7500 0.2500 0.5000
Mn: 0.2500 0.7500 0.5000


Entry from Alexandria: a relaxed structure of LaMnBr2 (GGA-PBE).

Computed properties:
**N(E_F)**: 2.09 states/eV per cell
**Distance to the lowest polymorph of the same formula**: 152 meV/atom
**Uncorrected energy**: -4.989 eV per atom

a b c (Å): 5.3150 5.3150 5.9204
angles (deg): 82.66 82.66 41.93
Fractional coordinates of all 4 atoms:
Br: 0.0275 0.0275 0.9867
Br: 0.4725 0.4725 0.5133
La: 0.7500 0.7500 0.7500
Mn: 0.2500 0.2500 0.2500


Entry from Alexandria: a relaxed structure of La2MnBr (GGA-PBE).

Computed properties:
**N(E_F)**: 4.10 states/eV per cell
**Distance to the lowest polymorph of the same formula**: 3 meV/atom
**Uncorrected energy**: -5.605 eV per atom

a b c (Å): 4.1180 4.1180 8.3890
angles (deg): 78.31 78.31 57.94
Fractional coordinates of all 4 atoms:
Br: 0.7500 0.7500 0.7500
La: 0.0109 0.0109 0.0442
La: 0.4891 0.4891 0.4558
Mn: 0.2500 0.2500 0.2500


Entry from Alexandria: a relaxed structure of La2MnBr (GGA-PBE).

Computed properties:
**N(E_F)**: 3.05 states/eV per cell
**Distance to the lowest polymorph of the same formula**: 36 meV/atom
**Uncorrected energy**: -5.572 eV per atom

a b c (Å): 3.5811 3.5811 8.3906
angles (deg): 90.00 90.00 105.10
Fractional coordinates of all 4 atoms:
Br: 0.5000 0.5000 0.7500
La: 0.0000 0.0000 0.0484
La: 0.0000 0.0000 0.4516
Mn: 0.5000 0.5000 0.2500